SbW | the Alexandria database | PBE | optimized geometry; DOS at the Fermi energy = 0.60 states/eV/f.u.; polymorph energy (0 for the lowest one) = 409 meV/atom; energy relative to the elements, uncorrected = 131 kJ/mol of formula units; space group = No. 187; crystal system = hexagonal
1.0
3.5631 0.0000 0.0000
-1.7815 3.0857 0.0000
0.0000 0.0000 3.6505
Sb W
1 1
Cartesian
0.0000 0.0000 0.0000 Sb
1.7815 1.0286 1.8253 W

***

SbW | the Alexandria database | PBE | optimized geometry; DOS at the Fermi energy = 1.07 states/eV/f.u.; polymorph energy (0 for the lowest one) = 166 meV/atom; energy relative to the elements, uncorrected = 84 kJ/mol of formula units; space group = No. 8; crystal system = monoclinic
1.0
11.8493 0.0000 0.0000
0.0000 3.2656 0.0000
-3.3048 0.0000 6.3715
Sb W
6 6
Cartesian
0.0000 0.0000 0.0000 Sb
0.1220 1.6328 2.7234 Sb
3.0164 0.0000 1.9025 Sb
5.9247 1.6328 0.0000 Sb
6.0466 0.0000 2.7234 Sb
8.9411 1.6328 1.9025 Sb
-1.5701 0.0000 4.3160 W
-0.1425 1.6328 5.8478 W
1.6457 0.0000 4.3304 W
4.3546 1.6328 4.3160 W
5.7822 0.0000 5.8478 W
7.5704 1.6328 4.3304 W

***

SbW2 | the Alexandria database | PBE | optimized geometry; DOS at the Fermi energy = 1.99 states/eV/f.u.; polymorph energy (0 for the lowest one) = 53 meV/atom; energy relative to the elements, uncorrected = 148 kJ/mol of formula units; space group = No. 63; crystal system = orthorhombic
1.0
3.2121 0.0000 0.0000
0.0000 14.5879 0.0000
0.0000 0.0000 4.9156
Sb W
4 8
Cartesian
0.0000 2.9885 1.2289 Sb
0.0000 11.5993 3.6867 Sb
1.6060 4.3054 3.6867 Sb
1.6060 10.2825 1.2289 Sb
0.0000 1.3848 3.6867 W
0.0000 6.6691 3.6867 W
0.0000 7.9187 1.2289 W
0.0000 13.2030 1.2289 W
1.6060 0.6248 1.2289 W
1.6060 5.9091 1.2289 W
1.6060 8.6788 3.6867 W
1.6060 13.9631 3.6867 W

***

SbW | the Alexandria database | PBE | optimized geometry; DOS at the Fermi energy = 1.78 states/eV/f.u.; polymorph energy (0 for the lowest one) = 1315 meV/atom; energy relative to the elements, uncorrected = 306 kJ/mol of formula units; space group = No. 216; crystal system = cubic
1.0
6.2081 0.0000 0.0000
0.0000 6.2081 0.0000
0.0000 0.0000 6.2081
Sb W
4 4
Cartesian
0.0000 0.0000 0.0000 Sb
0.0000 3.1041 3.1041 Sb
3.1041 0.0000 3.1041 Sb
3.1041 3.1041 0.0000 Sb
1.5520 1.5520 1.5520 W
1.5520 4.6561 4.6561 W
4.6561 1.5520 4.6561 W
4.6561 4.6561 1.5520 W

***

SbW | the Alexandria database | PBE | optimized geometry; DOS at the Fermi energy = 0.76 states/eV/f.u.; polymorph energy (0 for the lowest one) = 93 meV/atom; energy relative to the elements, uncorrected = 70 kJ/mol of formula units; space group = No. 8; crystal system = monoclinic
1.0
5.4431 0.0000 0.0000
0.0000 3.1548 0.0000
-0.0405 0.0000 10.5441
Sb W
4 4
Cartesian
0.0000 0.0000 0.0000 Sb
0.8646 1.5774 3.9998 Sb
2.7216 1.5774 0.0000 Sb
3.5861 0.0000 3.9998 Sb
0.8697 1.5774 8.2426 W
1.7605 0.0000 6.3307 W
3.5912 0.0000 8.2426 W
4.4821 1.5774 6.3307 W

***

Sb3W | the Alexandria database | PBE | optimized geometry; DOS at the Fermi energy = 3.30 states/eV/f.u.; polymorph energy (0 for the lowest one) = 583 meV/atom; energy relative to the elements, uncorrected = 339 kJ/mol of formula units; space group = No. 123; crystal system = tetragonal
1.0
5.1123 0.0000 0.0000
0.0000 5.1123 0.0000
0.0000 0.0000 3.4461
Sb W
3 1
Cartesian
0.0000 0.0000 0.0000 Sb
0.0000 2.5561 1.7231 Sb
2.5561 0.0000 1.7231 Sb
2.5561 2.5561 0.0000 W

***

SbW | the Alexandria database | PBE | optimized geometry; DOS at the Fermi energy = 1.16 states/eV/f.u.; polymorph energy (0 for the lowest one) = 222 meV/atom; energy relative to the elements, uncorrected = 95 kJ/mol of formula units; space group = No. 62; crystal system = orthorhombic
1.0
6.4694 0.0000 0.0000
0.0000 4.5744 0.0000
0.0000 0.0000 5.4065
Sb W
4 4
Cartesian
1.0431 1.1436 0.6646 Sb
2.1916 3.4308 3.3679 Sb
4.2778 1.1436 2.0386 Sb
5.4264 3.4308 4.7418 Sb
0.1723 1.1436 3.4245 W
3.0624 3.4308 0.7213 W
3.4070 1.1436 4.6852 W
6.2971 3.4308 1.9820 W

***

SbW | the Alexandria database | PBE | optimized geometry; DOS at the Fermi energy = 2.19 states/eV/f.u.; polymorph energy (0 for the lowest one) = 377 meV/atom; energy relative to the elements, uncorrected = 125 kJ/mol of formula units; space group = No. 123; crystal system = tetragonal
1.0
3.3340 0.0000 0.0000
0.0000 3.3340 0.0000
0.0000 0.0000 3.3172
Sb W
1 1
Cartesian
0.0000 0.0000 0.0000 Sb
1.6670 1.6670 1.6586 W